Entry 1:
# BaTeRu4

A relaxed BaTeRu4 crystal (PBE, Alexandria).

CIF file:
```
data_BaTeRu4
_cell_length_a 7.752
_cell_length_b 7.752
_cell_length_c 7.752
_cell_angle_alpha 90.00
_cell_angle_beta 90.00
_cell_angle_gamma 90.00
_symmetry_space_group_name_H-M 'F -4 3 m'
_symmetry_Int_Tables_number 216
_symmetry_space_group_name_Hall 'F -4 2 3'
loop_
_atom_site_label
_atom_site_fract_x
_atom_site_fract_y
_atom_site_fract_z
_atom_site_occupancy
Ba1 0.000 0.000 0.000 1
Te1 0.250 0.250 0.250 1
Ru1 0.123 0.123 0.623 1
```

Total moment, μB/atom: 0.478
Raw formation energy, eV/f.u.: 4.0

Entry 2:
# BaTeRu2

A relaxed BaTeRu2 crystal (PBE, Alexandria).

CIF file:
```
data_BaTeRu2
_cell_length_a 3.277
_cell_length_b 4.204
_cell_length_c 7.045
_cell_angle_alpha 90.00
_cell_angle_beta 101.54
_cell_angle_gamma 90.00
_symmetry_space_group_name_H-M 'P 1 2/m 1'
_symmetry_Int_Tables_number 10
_symmetry_space_group_name_Hall '-P 2y'
loop_
_atom_site_label
_atom_site_fract_x
_atom_site_fract_y
_atom_site_fract_z
_atom_site_occupancy
Ba1 0.000 0.000 0.000 1
Te1 0.500 0.000 0.500 1
Ru1 0.298 0.500 0.667 1
```

Total moment, μB/atom: 0.000
Raw formation energy, eV/f.u.: 2.1

Entry 3:
# BaTeRu

A relaxed BaTeRu crystal (PBE, Alexandria).

CIF file:
```
data_BaTeRu
_cell_length_a 4.5182
_cell_length_b 4.5182
_cell_length_c 5.0147
_cell_angle_alpha 90.00
_cell_angle_beta 90.00
_cell_angle_gamma 120.00
_symmetry_space_group_name_H-M 'P -6 m 2'
_symmetry_Int_Tables_number 187
_symmetry_space_group_name_Hall 'P -6 2'
loop_
_atom_site_label
_atom_site_fract_x
_atom_site_fract_y
_atom_site_fract_z
_atom_site_occupancy
Ba1 0.0000 0.0000 0.0000 1
Te1 0.3333 0.6667 0.5000 1
Ru1 0.6667 0.3333 0.5000 1
```

Total moment, μB/atom: 0.000
Offset from the most stable computed form, eV per formula unit: 0.000
Raw formation energy, eV/f.u.: -1.2

Entry 4:
# BaTeRu2

A relaxed BaTeRu2 crystal (PBE, Alexandria).

CIF file:
```
data_BaTeRu2
_cell_length_a 3.306
_cell_length_b 3.306
_cell_length_c 7.838
_cell_angle_alpha 90.00
_cell_angle_beta 90.00
_cell_angle_gamma 90.00
_symmetry_space_group_name_H-M 'P 4/m m m'
_symmetry_Int_Tables_number 123
_symmetry_space_group_name_Hall '-P 4 2'
loop_
_atom_site_label
_atom_site_fract_x
_atom_site_fract_y
_atom_site_fract_z
_atom_site_occupancy
Ba1 0.000 0.000 0.000 1
Te1 0.000 0.000 0.500 1
Ru1 0.500 0.500 0.313 1
```

Total moment, μB/atom: 0.000
Raw formation energy, eV/f.u.: 1.9

Entry 5:
# BaTeRu2

A relaxed BaTeRu2 crystal (PBE, Alexandria).

CIF file:
```
data_BaTeRu2
_cell_length_a 4.3979
_cell_length_b 4.3979
_cell_length_c 18.3943
_cell_angle_alpha 90.00
_cell_angle_beta 90.00
_cell_angle_gamma 120.00
_symmetry_space_group_name_H-M 'R 3 m'
_symmetry_Int_Tables_number 160
_symmetry_space_group_name_Hall 'R 3 -2"'
loop_
_atom_site_label
_atom_site_fract_x
_atom_site_fract_y
_atom_site_fract_z
_atom_site_occupancy
Ba1 0.0000 0.0000 0.0000 1
Te1 0.0000 0.0000 0.1961 1
Ru1 0.0000 0.0000 0.4647 1
Ru2 0.0000 0.0000 0.7966 1
```

Total moment, μB/atom: 0.000
Raw formation energy, eV/f.u.: -0.5

Entry 6:
# BaTeRu2

A relaxed BaTeRu2 crystal (PBE, Alexandria).

CIF file:
```
data_BaTeRu2
_cell_length_a 7.811
_cell_length_b 7.811
_cell_length_c 6.783
_cell_angle_alpha 90.00
_cell_angle_beta 90.00
_cell_angle_gamma 90.00
_symmetry_space_group_name_H-M 'I -4 2 d'
_symmetry_Int_Tables_number 122
_symmetry_space_group_name_Hall 'I -4 2bw'
loop_
_atom_site_label
_atom_site_fract_x
_atom_site_fract_y
_atom_site_fract_z
_atom_site_occupancy
Ba1 0.000 0.000 0.000 1
Te1 0.000 0.000 0.500 1
Ru1 0.168 0.250 0.625 1
```

Total moment, μB/atom: 0.000
Raw formation energy, eV/f.u.: 2.1

Entry 7:
# BaTeRu2

A relaxed BaTeRu2 crystal (PBE, Alexandria).

CIF file:
```
data_BaTeRu2
_cell_length_a 4.765
_cell_length_b 4.765
_cell_length_c 3.702
_cell_angle_alpha 90.00
_cell_angle_beta 90.00
_cell_angle_gamma 90.00
_symmetry_space_group_name_H-M 'P 4/m m m'
_symmetry_Int_Tables_number 123
_symmetry_space_group_name_Hall '-P 4 2'
loop_
_atom_site_label
_atom_site_fract_x
_atom_site_fract_y
_atom_site_fract_z
_atom_site_occupancy
Ba1 0.000 0.000 0.000 1
Te1 0.500 0.500 0.000 1
Ru1 0.000 0.500 0.500 1
```

Total moment, μB/atom: 0.000
Raw formation energy, eV/f.u.: 2.4

Entry 8:
# Ba2TeRu2

A relaxed Ba2TeRu2 crystal (PBE, Alexandria).

CIF file:
```
data_Ba2TeRu2
_cell_length_a 3.780
_cell_length_b 3.780
_cell_length_c 20.015
_cell_angle_alpha 90.00
_cell_angle_beta 90.00
_cell_angle_gamma 90.00
_symmetry_space_group_name_H-M 'I 4/m m m'
_symmetry_Int_Tables_number 139
_symmetry_space_group_name_Hall '-I 4 2'
loop_
_atom_site_label
_atom_site_fract_x
_atom_site_fract_y
_atom_site_fract_z
_atom_site_occupancy
Ba1 0.000 0.000 0.111 1
Te1 0.000 0.000 0.500 1
Ru1 0.000 0.500 0.250 1
```

Total moment, μB/atom: 0.041
Offset from the most stable computed form, eV per formula unit: 0.000
Raw formation energy, eV/f.u.: -0.4

Entry 9:
# BaTeRu3

A relaxed BaTeRu3 crystal (PBE, Alexandria).

CIF file:
```
data_BaTeRu3
_cell_length_a 4.949
_cell_length_b 4.949
_cell_length_c 4.949
_cell_angle_alpha 90.00
_cell_angle_beta 90.00
_cell_angle_gamma 90.00
_symmetry_space_group_name_H-M 'P m -3 m'
_symmetry_Int_Tables_number 221
_symmetry_space_group_name_Hall '-P 4 2 3'
loop_
_atom_site_label
_atom_site_fract_x
_atom_site_fract_y
_atom_site_fract_z
_atom_site_occupancy
Ba1 0.000 0.000 0.000 1
Te1 0.500 0.500 0.500 1
Ru1 0.000 0.500 0.500 1
```

Total moment, μB/atom: 0.106
Offset from the most stable computed form, eV per formula unit: 0.000
Raw formation energy, eV/f.u.: 4.3

Entry 10:
# BaTeRu2

A relaxed BaTeRu2 crystal (PBE, Alexandria).

CIF file:
```
data_BaTeRu2
_cell_length_a 7.230
_cell_length_b 7.230
_cell_length_c 7.230
_cell_angle_alpha 90.00
_cell_angle_beta 90.00
_cell_angle_gamma 90.00
_symmetry_space_group_name_H-M 'F -4 3 m'
_symmetry_Int_Tables_number 216
_symmetry_space_group_name_Hall 'F -4 2 3'
loop_
_atom_site_label
_atom_site_fract_x
_atom_site_fract_y
_atom_site_fract_z
_atom_site_occupancy
Ba1 0.000 0.000 0.000 1
Te1 0.250 0.250 0.250 1
Ru1 0.000 0.000 0.500 1
Ru2 0.250 0.250 0.750 1
```

Total moment, μB/atom: 0.952
Raw formation energy, eV/f.u.: 3.2

Entry 11:
# BaTeRu3

A relaxed BaTeRu3 crystal (PBE, Alexandria).

CIF file:
```
data_BaTeRu3
_cell_length_a 5.095
_cell_length_b 5.095
_cell_length_c 5.095
_cell_angle_alpha 90.00
_cell_angle_beta 90.00
_cell_angle_gamma 90.00
_symmetry_space_group_name_H-M 'P m -3 m'
_symmetry_Int_Tables_number 221
_symmetry_space_group_name_Hall '-P 4 2 3'
loop_
_atom_site_label
_atom_site_fract_x
_atom_site_fract_y
_atom_site_fract_z
_atom_site_occupancy
Ba1 0.000 0.000 0.000 1
Te1 0.500 0.500 0.500 1
Ru1 0.000 0.000 0.500 1
```

Total moment, μB/atom: 0.914
Offset from the most stable computed form, eV per formula unit: 7.934
Raw formation energy, eV/f.u.: 12.2

Entry 12:
# BaTeRu2

A relaxed BaTeRu2 crystal (PBE, Alexandria).

CIF file:
```
data_BaTeRu2
_cell_length_a 4.129
_cell_length_b 4.129
_cell_length_c 10.186
_cell_angle_alpha 90.00
_cell_angle_beta 90.00
_cell_angle_gamma 90.00
_symmetry_space_group_name_H-M 'I -4 m 2'
_symmetry_Int_Tables_number 119
_symmetry_space_group_name_Hall 'I -4 -2'
loop_
_atom_site_label
_atom_site_fract_x
_atom_site_fract_y
_atom_site_fract_z
_atom_site_occupancy
Ba1 0.000 0.000 0.000 1
Te1 0.000 0.500 0.250 1
Ru1 0.000 0.000 0.500 1
Ru2 0.000 0.500 0.750 1
```

Total moment, μB/atom: 0.151
Raw formation energy, eV/f.u.: 2.9

Entry 13:
# BaTeRu2

A relaxed BaTeRu2 crystal (PBE, Alexandria).

CIF file:
```
data_BaTeRu2
_cell_length_a 3.116
_cell_length_b 3.854
_cell_length_c 7.650
_cell_angle_alpha 90.00
_cell_angle_beta 90.00
_cell_angle_gamma 90.00
_symmetry_space_group_name_H-M 'P m m 2'
_symmetry_Int_Tables_number 25
_symmetry_space_group_name_Hall 'P 2 -2'
loop_
_atom_site_label
_atom_site_fract_x
_atom_site_fract_y
_atom_site_fract_z
_atom_site_occupancy
Ba1 0.000 0.000 0.000 1
Te1 0.500 0.500 0.638 1
Ru1 0.000 0.000 0.437 1
Ru2 0.500 0.500 0.293 1
```

Total moment, μB/atom: 0.000
Raw formation energy, eV/f.u.: 1.2

Entry 14:
# BaTeRu

A relaxed BaTeRu crystal (PBE, Alexandria).

CIF file:
```
data_BaTeRu
_cell_length_a 3.584
_cell_length_b 3.584
_cell_length_c 12.426
_cell_angle_alpha 90.00
_cell_angle_beta 90.00
_cell_angle_gamma 90.00
_symmetry_space_group_name_H-M 'I 4 m m'
_symmetry_Int_Tables_number 107
_symmetry_space_group_name_Hall 'I 4 -2'
loop_
_atom_site_label
_atom_site_fract_x
_atom_site_fract_y
_atom_site_fract_z
_atom_site_occupancy
Ba1 0.000 0.000 0.000 1
Te1 0.000 0.000 0.279 1
Ru1 0.000 0.000 0.695 1
```

Total moment, μB/atom: 0.000
Offset from the most stable computed form, eV per formula unit: 0.910
Raw formation energy, eV/f.u.: -0.3